First-principles (meta-GGA SCAN) data for HgCN2O at its PBEsol-relaxed geometry, as listed in Alexandria.

The space group is P4/mmm (No. 123) and the conventional cell measures 4.2126, 4.2126 and 4.1581 Å, with angles of 90.00, 90.00 and 90.00 degrees. The inequivalent atoms are Hg at (0.0000, 0.0000, 0.0000), C at (0.5000, 0.5000, 0.5000), N at (0.0000, 0.5000, 0.0000) and O at (0.0000, 0.0000, 0.5000).

The volume comes out at 14.76 Å³/atom. The total DFT energy (no corrections) comes out at -17.415 eV per atom. The density of states at the Fermi level comes out at 0.4400 states/eV/atom.


First-principles (meta-GGA SCAN) data for RbHgC3N3O3 at its PBEsol-relaxed geometry, as listed in Alexandria.

The space group is Pnma (No. 62) and the conventional cell measures 10.4224, 4.0651 and 18.1737 Å, with angles of 90.00, 90.00 and 90.00 degrees. The inequivalent atoms are Rb at (0.0808, 0.2500, 0.1605), Hg at (0.1479, 0.2500, 0.5383), C at (0.1121, 0.2500, 0.3765), C at (0.1273, 0.2500, 0.7024), C at (0.1294, 0.2500, 0.9713), N at (0.0569, 0.2500, 0.4352), N at (0.1994, 0.2500, 0.6503), N at (0.2188, 0.2500, 0.0134), O at (0.0390, 0.2500, 0.9295), O at (0.0622, 0.2500, 0.7567) and O at (0.1593, 0.2500, 0.3165).

The volume comes out at 17.50 Å³/atom. The total DFT energy (no corrections) comes out at -15.671 eV per atom. The density of states at the Fermi level comes out at 0.0000 states/eV/atom.


First-principles (meta-GGA SCAN) data for ZnHgC4S4N4 at its PBEsol-relaxed geometry, as listed in Alexandria.

The space group is I-4 (No. 82) and the conventional cell measures 11.0865, 11.0865 and 4.6200 Å, with angles of 90.00, 90.00 and 90.00 degrees. The inequivalent atoms are Zn at (0.0000, 0.0000, 0.0000), Hg at (0.0000, 0.5000, 0.2500), C at (0.0712, 0.7750, 0.3638), S at (0.1129, 0.6576, 0.5528) and N at (0.0432, 0.8615, 0.2327).

The volume comes out at 20.28 Å³/atom. The total DFT energy (no corrections) comes out at -14.023 eV per atom. The density of states at the Fermi level comes out at 0.0000 states/eV/atom.


First-principles (meta-GGA SCAN) data for HgTe2CN at its PBEsol-relaxed geometry, as listed in Alexandria.

The space group is P4/mmm (No. 123) and the conventional cell measures 6.7368, 6.7368 and 2.6066 Å, with angles of 90.00, 90.00 and 90.00 degrees. The inequivalent atoms are Hg at (0.0000, 0.0000, 0.0000), Te at (0.0000, 0.5000, 0.5000), C at (0.5000, 0.5000, 0.5000) and N at (0.5000, 0.5000, 0.0000).

The volume comes out at 23.66 Å³/atom. The total DFT energy (no corrections) comes out at -31.614 eV per atom. The density of states at the Fermi level comes out at 0.2766 states/eV/atom.